This record from Alexandria describes a geometry-optimized Ca2HgRhPb structure. The functional is GGA-PBE.

The formation energy is -0.344 eV per atom. The calculation puts the raw total energy at -17.08 eV for the cell shown.

abc: 5.4755 5.4755 5.1582
angles: 90.00 90.00 90.00
Space group P4/mmm (No. 123)
One atom of each set of equivalent atoms:
Ca (0.0000, 0.5000, 0.0000) (multiplicity 2)
Hg (0.0000, 0.0000, 0.5000) (multiplicity 1)
Rh (0.5000, 0.5000, 0.0000) (multiplicity 1)
Pb (0.5000, 0.5000, 0.5000) (multiplicity 1)